No. 1
HgAuCl2 | PBE | relaxed

The structure in POSCAR format:
```
HgAuCl2
1.0
3.913 0.000 0.000
0.000 3.913 0.000
0.000 0.000 6.749
Hg Au Cl
1 1 2
direct
0.000 0.000 0.000
0.500 0.500 0.500
0.000 0.000 0.500
0.500 0.500 0.000
```

Calculated values
offset from the most stable computed form = 255 meV per atom
density of states at the Fermi level = 1.713 states/eV per cell
total moment = 0.00 Bohr magnetons per cell
space-group type = P4/mmm (123)

=====

No. 2
TaZnIr2 | PBE | relaxed

The structure in POSCAR format:
```
TaZnIr2
1.0
2.935 0.000 0.000
0.000 3.578 0.000
0.000 0.000 5.796
Ta Zn Ir
1 1 2
direct
0.000 0.000 0.000
0.000 0.000 0.500
0.500 0.500 0.257
0.500 0.500 0.743
```

Calculated values
formation enthalpy at 0 K = -50.15 kJ per mole of atoms
density of states at the Fermi level = 1.083 states/eV per cell
total moment = 0.00 Bohr magnetons per cell
space-group type = Pmmm (47)